MgBiS2: optimized geometry, PBE.

POSCAR file:
```
MgBiS2
1.0
1.8828 1.0871 7.9996
-1.8828 1.0871 7.9996
0.0000 -2.1741 7.9996
Mg Bi S
1 1 2
direct
0.0000 0.0000 0.0000
0.5000 0.5000 0.5000
0.3894 0.3894 0.3894
0.6106 0.6106 0.6106
```

The theoretical density comes out at 5.027 g/cm³. For the polymorph energy (0 for the lowest one), the calculation gives 0 meV per atom.

MgBiS2: optimized geometry, PBE.

POSCAR file:
```
MgBiS2
1.0
2.0925 1.2081 7.8777
-2.0925 1.2081 7.8777
0.0000 -2.4162 7.8777
Mg Bi S
1 1 2
direct
0.0000 0.0000 0.0000
0.5000 0.5000 0.5000
0.1024 0.1024 0.1024
0.8976 0.8976 0.8976
```

The theoretical density comes out at 4.133 g/cm³. For the polymorph energy (0 for the lowest one), the calculation gives 238 meV per atom.

MgBiS2: optimized geometry, PBE.

POSCAR file:
```
MgBiS2
1.0
0.0000 3.4538 3.4538
3.4538 0.0000 3.4538
3.4538 3.4538 0.0000
Mg Bi S
1 1 2
direct
0.0000 0.0000 0.0000
0.5000 0.5000 0.5000
0.2500 0.2500 0.2500
0.7500 0.7500 0.7500
```

The theoretical density comes out at 5.994 g/cm³. For the polymorph energy (0 for the lowest one), the calculation gives 229 meV per atom.

Mg3BiS: optimized geometry, PBE.

POSCAR file:
```
Mg3BiS
1.0
5.4747 0.0000 0.0000
0.0000 5.4747 0.0000
0.0000 0.0000 5.4747
Mg Bi S
3 1 1
direct
0.0000 0.0000 0.5000
0.0000 0.5000 0.0000
0.5000 0.0000 0.0000
0.0000 0.0000 0.0000
0.5000 0.5000 0.5000
```

The theoretical density comes out at 3.177 g/cm³. For the polymorph energy (0 for the lowest one), the calculation gives 684 meV per atom.

Total magnetization (computed, μB per atom): 0.000, 0.000, 0.000, 0.000
ΔE_f (raw) (computed, meV/atom): -555, -317, -326, 316